Density functional theory data (GGA-PBE) for CsUPb2O6 after structural relaxation.

Lattice parameters (Å, degrees): 6.298 6.299 6.803 62.43 89.95 60.01
Sites, in units of the cell vectors:
Cs 0.000 0.000 0.000
U 0.457 0.087 0.370
Pb 0.251 0.497 0.756
Pb 0.777 0.446 0.331
O 0.081 0.436 0.143
O 0.286 0.883 0.561
O 0.443 0.270 0.561
O 0.483 0.938 0.143
O 0.578 0.340 0.143
O 0.831 0.726 0.560

Values from the calculation:
- space group = P1, No. 1
- formation energy without anion corrections (eV/atom) = -1.927